[1]
Density functional theory data (GGA-PBE) for a relaxed structure of CsTePb2Se4.

a = 12.5568 Å, b = 12.4555 Å, c = 8.7876 Å
α = 90.00°, β = 129.71°, γ = 90.00°
Last column: nearest neighbours and their distance in Å.
Space group C2/c (No. 15)
Unique sites:
Cs1 0.0000 0.0000 0.0000 [4 per cell]  4 Se 3.30-3.32
Te1 0.2500 0.2500 0.0000 [4 per cell]  4 Se 2.89-2.90
Pb1 0.0000 0.5000 0.0000 [4 per cell]  6 Se 3.00-3.08
Pb2 0.2500 0.2500 0.5000 [4 per cell]  2 Se 3.00
Se1 0.0477 0.2624 0.0573 [8 per cell]  1 Te 2.89, 2 Pb 3.00
Se2 0.2167 0.4813 0.9541 [8 per cell]  1 Te 2.90, 2 Pb 3.00-3.08

Summary:
Uncorrected formation energy ... -0.385 eV/atom

---

[2]
Density functional theory data (GGA-PBE) for a relaxed structure of Hf2Nb2Hg.

a = 14.4339 Å, b = 7.0186 Å, c = 4.6263 Å
α = 90.00°, β = 108.64°, γ = 90.00°
Last column: nearest neighbours and their distance in Å.
Space group C2/c (No. 15)
Unique sites:
Hf1 0.1498 0.1505 0.3992 [8 per cell]  4 Nb 2.91-3.20, 3 Hf 3.08-3.13, 3 Hg 3.08-3.10
Nb1 0.1817 0.3978 0.9315 [8 per cell]  3 Nb 2.72-2.79, 3 Hf 2.91-2.93, 1 Hg 2.93
Hg1 0.0000 0.1767 0.7500 [4 per cell]  2 Nb 2.93, 6 Hf 3.08-3.10

---

[3]
Density functional theory data (GGA-PBE) for a relaxed structure of AcBiF.

a = 4.3527 Å, b = 4.3527 Å, c = 5.1977 Å
α = 90.00°, β = 90.00°, γ = 120.00°
Last column: nearest neighbours and their distance in Å.
Space group P-6m2 (No. 187)
Unique sites:
Ac1 0.0000 0.0000 0.0000 [1 per cell]  3 F 2.51
Bi1 0.6667 0.3333 0.5000 [1 per cell]  6 Ac 3.62, 6 F 3.62
F1 0.3333 0.6667 0.0000 [1 per cell]  3 Ac 2.51

Summary:
Uncorrected formation energy ... -2.137 eV/atom

---

[4]
Density functional theory data (GGA-PBE) for a relaxed structure of Mn2CdIn.

a = 4.2973 Å, b = 4.2973 Å, c = 7.6556 Å
α = 90.00°, β = 90.00°, γ = 90.00°
Last column: nearest neighbours and their distance in Å.
Space group I4/mmm (No. 139)
Unique sites:
Mn1 0.0000 0.5000 0.2500 [4 per cell]  4 Cd 2.88, 4 In 2.88, 4 Mn 3.04
Cd1 0.0000 0.0000 0.0000 [2 per cell]  8 Mn 2.88, 4 In 3.04
In1 0.0000 0.0000 0.5000 [2 per cell]  8 Mn 2.88, 4 Cd 3.04

---

[5]
Density functional theory data (GGA-PBE) for a relaxed structure of Cs2BaCl.

a = 4.7319 Å, b = 4.7319 Å, c = 40.1413 Å
α = 90.00°, β = 90.00°, γ = 120.00°
Last column: nearest neighbours and their distance in Å.
Space group R-3m (No. 166, hexagonal axes)
Unique sites:
Cs1 0.0000 0.0000 0.1125 [6 per cell]  3 Cl 3.49
Ba1 0.0000 0.0000 0.0000 [3 per cell]  2 Cs 4.52, 6 Ba 4.73
Cl1 0.0000 0.0000 0.5000 [3 per cell]  6 Cs 3.49

Summary:
Uncorrected formation energy ... -0.832 eV/atom

---

| no. | calculated total energy (eV per atom) |
| --- | --- |
| 1 | -3.5541 |
| 2 | -7.8493 |
| 3 | -5.4237 |
| 4 | -5.2455 |
| 5 | -2.2014 |